Compound: NbZn2ReAu
Source: Alexandria
Functional: PBE
Structure: relaxed

* crystal system: tetragonal
* total magnetic moment: 0.000 μB per cell
* DFT formation energy: 1422 meV/atom
* calculated total energy: -4.247 eV per atom
* DOS at the Fermi energy: 5.5 states/eV per cell
* calculated volume: 104.84 Å³/cell

Unit cell a=4.5391 b=4.5391 c=5.0884 alpha=90.00 beta=90.00 gamma=90.00
Last column: nearest neighbours and their distance in Å.
Space group P4/mmm (No. 123)
Inequivalent atoms, fractional coordinates:
Nb 0.0000 0.0000 0.0000 [1 per cell]  4 Re 3.21, 8 Zn 3.41
Zn 0.0000 0.5000 0.5000 [2 per cell]  2 Au 2.27
Re 0.5000 0.5000 0.0000 [1 per cell]  2 Au 2.54
Au 0.5000 0.5000 0.5000 [1 per cell]  4 Zn 2.27

=====

Compound: BaBr
Source: Alexandria
Functional: PBE
Structure: relaxed

* crystal system: monoclinic
* total magnetic moment: 1.683 μB per cell
* calculated total energy: -3.266 eV per atom
* ΔE_f (raw): -1.47 eV per atom
* DOS at the Fermi energy: 2.6 states/eV per cell
* calculated volume: 171.98 Å³/cell

Unit cell a=4.5551 b=6.5309 c=5.9569 alpha=90.00 beta=103.96 gamma=90.00
Last column: nearest neighbours and their distance in Å.
Space group P2_1/m (No. 11)
Inequivalent atoms, fractional coordinates:
Ba 0.2249 0.2500 0.2246 [2 per cell]  5 Br 3.37-3.39
Br 0.1418 0.7500 0.3428 [2 per cell]  5 Ba 3.37-3.39

=====

Compound: LiPd4
Source: Alexandria
Functional: PBE
Structure: relaxed

* E above lowest polymorph: 0.000 eV per formula unit
* crystal system: tetragonal
* total magnetic moment: 0.006 μB per cell
* DFT formation energy: -156 meV/atom
* calculated total energy: -4.693 eV per atom
* DOS at the Fermi energy: 16.2 states/eV per cell
* calculated volume: 145.78 Å³/cell

Unit cell a=7.0179 b=7.0179 c=2.9598 alpha=90.00 beta=90.00 gamma=90.00
Last column: nearest neighbours and their distance in Å.
Space group I4/m (No. 87)
Inequivalent atoms, fractional coordinates:
Li 0.0000 0.0000 0.0000 [2 per cell]  8 Pd 2.57
Pd 0.0905 0.7154 0.5000 [8 per cell]  2 Li 2.57, 6 Pd 2.73-2.75

=====

Compound: Nd3AlGa2
Source: Alexandria
Functional: PBE
Structure: relaxed

* E above lowest polymorph: 0.000 eV per formula unit
* crystal system: tetragonal
* total magnetic moment: 0.000 μB per cell
* DFT formation energy: -488 meV/atom
* calculated total energy: -4.504 eV per atom
* DOS at the Fermi energy: 2.7 states/eV per cell
* calculated volume: 152.86 Å³/cell

Unit cell a=3.7047 b=3.7047 c=11.1377 alpha=90.00 beta=90.00 gamma=90.00
Last column: nearest neighbours and their distance in Å.
Space group P4/mmm (No. 123)
Inequivalent atoms, fractional coordinates:
Nd 0.0000 0.0000 0.0000 [1 per cell]  8 Ga 3.21
Nd 0.0000 0.0000 0.3309 [2 per cell]  4 Ga 3.20, 4 Al 3.23
Al 0.5000 0.5000 0.5000 [1 per cell]  8 Nd 3.23
Ga 0.5000 0.5000 0.1658 [2 per cell]  8 Nd 3.20-3.21

=====

Compound: GaBi3Pt4
Source: Alexandria
Functional: PBE
Structure: relaxed

* crystal system: orthorhombic
* total magnetic moment: 0.000 μB per cell
* DFT formation energy: -195 meV/atom
* calculated total energy: -5.049 eV per atom
* DOS at the Fermi energy: 7.4 states/eV per cell
* calculated volume: 353.52 Å³/cell

Unit cell a=5.4093 b=8.0255 c=8.1433 alpha=90.00 beta=90.00 gamma=90.00
Last column: nearest neighbours and their distance in Å.
Space group Imm2 (No. 44)
Inequivalent atoms, fractional coordinates:
Ga 0.0000 0.0000 0.0000 [2 per cell]  4 Pt 2.50-2.51
Bi 0.0000 0.2587 0.4081 [4 per cell]  5 Pt 2.81-3.05
Bi 0.0000 0.5000 0.0880 [2 per cell]  6 Pt 3.02-3.32, 2 Bi 3.25
Pt 0.0000 0.1784 0.7472 [4 per cell]  1 Ga 2.51
Pt 0.2379 0.5000 0.7529 [4 per cell]  1 Ga 2.50, 1 Pt 2.57

=====

Compound: LiMgMnCo
Source: Alexandria
Functional: PBE
Structure: relaxed

* crystal system: cubic
* total magnetic moment: 17.218 μB per cell
* DFT formation energy: 174 meV/atom
* calculated total energy: -4.772 eV per atom
* DOS at the Fermi energy: 10.5 states/eV per cell
* calculated volume: 222.23 Å³/cell

Unit cell a=6.0571 b=6.0571 c=6.0571 alpha=90.00 beta=90.00 gamma=90.00
Last column: nearest neighbours and their distance in Å.
Space group F-43m (No. 216)
Inequivalent atoms, fractional coordinates:
Li 0.0000 0.0000 0.0000 [4 per cell]  4 Mg 2.62, 4 Mn 2.62
Mg 0.2500 0.2500 0.2500 [4 per cell]  4 Li 2.62, 4 Co 2.62
Mn 0.2500 0.2500 0.7500 [4 per cell]  4 Li 2.62, 4 Co 2.62
Co 0.0000 0.0000 0.5000 [4 per cell]  4 Mn 2.62, 4 Mg 2.62

=====

Compound: TiHg2Ru
Source: Alexandria
Functional: PBE
Structure: relaxed

* E above lowest polymorph: 0.000 eV per formula unit
* crystal system: cubic
* total magnetic moment: 0.000 μB per cell
* DFT formation energy: 246 meV/atom
* calculated total energy: -4.197 eV per atom
* DOS at the Fermi energy: 21.6 states/eV per cell
* calculated volume: 283.33 Å³/cell

Unit cell a=6.5680 b=6.5680 c=6.5680 alpha=90.00 beta=90.00 gamma=90.00
Last column: nearest neighbours and their distance in Å.
Space group Fm-3m (No. 225)
Inequivalent atoms, fractional coordinates:
Ti 0.0000 0.0000 0.0000 [4 per cell]  8 Hg 2.84
Hg 0.2500 0.2500 0.2500 [8 per cell]  4 Ru 2.84, 4 Ti 2.84
Ru 0.0000 0.0000 0.5000 [4 per cell]  8 Hg 2.84

=====

Compound: Sc2TaRe
Source: Alexandria
Functional: PBE
Structure: relaxed

* E above lowest polymorph: 0.192 eV per formula unit
* crystal system: orthorhombic
* total magnetic moment: 0.000 μB per cell
* DFT formation energy: -64 meV/atom
* calculated total energy: -9.305 eV per atom
* DOS at the Fermi energy: 7.2 states/eV per cell
* calculated volume: 156.65 Å³/cell

Unit cell a=3.3432 b=4.8357 c=9.6897 alpha=90.00 beta=90.00 gamma=90.00
Last column: nearest neighbours and their distance in Å.
Space group Imm2 (No. 44)
Inequivalent atoms, fractional coordinates:
Sc 0.0000 0.0000 0.0000 [2 per cell]  4 Re 2.94, 4 Ta 3.19-3.23, 4 Sc 3.20-3.21
Sc 0.0000 0.5000 0.2184 [2 per cell]  2 Re 2.83, 4 Ta 3.01
Ta 0.0000 0.5000 0.7850 [2 per cell]  2 Re 2.54
Re 0.0000 0.0000 0.4822 [2 per cell]  2 Ta 2.54, 2 Sc 2.83

=====

Compound: Cu5Au
Source: Alexandria
Functional: PBE
Structure: relaxed

* E above lowest polymorph: 0.105 eV per formula unit
* crystal system: hexagonal
* total magnetic moment: 0.000 μB per cell
* DFT formation energy: -2 meV/atom
* calculated total energy: -3.962 eV per atom
* DOS at the Fermi energy: 2.6 states/eV per cell
* calculated volume: 78.62 Å³/cell

Unit cell a=4.5918 b=4.5918 c=4.3053 alpha=90.00 beta=90.00 gamma=120.00
Last column: nearest neighbours and their distance in Å.
Space group P-62m (No. 189)
Inequivalent atoms, fractional coordinates:
Cu 0.0000 0.6509 0.0000 [3 per cell]  10 Cu 2.59-2.78, 2 Au 2.68
Cu 0.3333 0.6667 0.5000 [2 per cell]  9 Cu 2.62-2.65, 3 Au 2.65
Au 0.0000 0.0000 0.5000 [1 per cell]  12 Cu 2.65-2.68

=====

Compound: La2TlCl
Source: Alexandria
Functional: PBE
Structure: relaxed

* E above lowest polymorph: 0.526 eV per formula unit
* crystal system: orthorhombic
* total magnetic moment: 0.000 μB per cell
* calculated total energy: -4.333 eV per atom
* ΔE_f (raw): -0.82 eV per atom
* DOS at the Fermi energy: 4.8 states/eV per cell
* calculated volume: 240.07 Å³/cell

Unit cell a=4.9015 b=6.1035 c=8.0249 alpha=90.00 beta=90.00 gamma=90.00
Last column: nearest neighbours and their distance in Å.
Space group Immm (No. 71)
Inequivalent atoms, fractional coordinates:
La 0.0000 0.0000 0.2275 [4 per cell]  2 Cl 3.06, 2 Tl 3.28
Tl 0.0000 0.5000 0.0000 [2 per cell]  8 La 3.28-3.56
Cl 0.0000 0.5000 0.5000 [2 per cell]  4 La 3.06

=====

Compound: Ce2GaSb3
Source: Alexandria
Functional: PBE
Structure: relaxed

* crystal system: orthorhombic
* total magnetic moment: 1.404 μB per cell
* calculated total energy: -5.092 eV per atom
* ΔE_f (raw): -0.55 eV per atom
* DOS at the Fermi energy: 16.2 states/eV per cell
* calculated volume: 380.36 Å³/cell

Unit cell a=4.4770 b=6.1723 c=13.7643 alpha=90.00 beta=90.00 gamma=90.00
Last column: nearest neighbours and their distance in Å.
Space group Immm (No. 71)
Inequivalent atoms, fractional coordinates:
Ce 0.0000 0.0000 0.1647 [4 per cell]  6 Sb 3.09-3.19
Ga 0.0000 0.0000 0.5000 [2 per cell]  6 Sb 3.09-3.29
Sb 0.0000 0.5000 0.1748 [4 per cell]  4 Ce 3.09-3.14, 2 Ga 3.29
Sb 0.0000 0.5000 0.5000 [2 per cell]  2 Ga 3.09, 4 Ce 3.19

=====

Compound: LaAsCSe2
Source: Alexandria
Functional: PBE
Structure: relaxed

* E above lowest polymorph: 7.074 eV per formula unit
* crystal system: tetragonal
* total magnetic moment: 2.840 μB per cell
* calculated total energy: -3.681 eV per atom
* ΔE_f (raw): 1.47 eV per atom
* DOS at the Fermi energy: 10.5 states/eV per cell
* calculated volume: 202.67 Å³/cell

Unit cell a=5.7904 b=5.7904 c=6.0446 alpha=90.00 beta=90.00 gamma=90.00
Last column: nearest neighbours and their distance in Å.
Space group P4/mmm (No. 123)
Inequivalent atoms, fractional coordinates:
La 0.0000 0.0000 0.0000 [1 per cell]  4 Se 2.90, 2 As 3.02
As 0.0000 0.0000 0.5000 [1 per cell]  2 La 3.02
C 0.5000 0.5000 0.5000 [1 per cell]  4 As 4.09, 8 Se 4.19
Se 0.0000 0.5000 0.0000 [2 per cell]  2 La 2.90

=====

Compound: TiGaRh3
Source: Alexandria
Functional: PBE
Structure: relaxed

* E above lowest polymorph: 4.990 eV per formula unit
* crystal system: cubic
* total magnetic moment: 0.000 μB per cell
* DFT formation energy: 475 meV/atom
* calculated total energy: -6.120 eV per atom
* DOS at the Fermi energy: 0.4 states/eV per cell
* calculated volume: 93.29 Å³/cell

Unit cell a=4.5354 b=4.5354 c=4.5354 alpha=90.00 beta=90.00 gamma=90.00
Last column: nearest neighbours and their distance in Å.
Space group Pm-3m (No. 221)
Inequivalent atoms, fractional coordinates:
Ti 0.0000 0.0000 0.0000 [1 per cell]  6 Rh 2.27
Ga 0.5000 0.5000 0.5000 [1 per cell]  12 Rh 3.21
Rh 0.0000 0.0000 0.5000 [3 per cell]  2 Ti 2.27

=====

Compound: Zn3InRu
Source: Alexandria
Functional: PBE
Structure: relaxed

* E above lowest polymorph: 0.000 eV per formula unit
* crystal system: cubic
* total magnetic moment: 0.000 μB per cell
* DFT formation energy: 383 meV/atom
* calculated total energy: -2.784 eV per atom
* DOS at the Fermi energy: 1.5 states/eV per cell
* calculated volume: 112.64 Å³/cell

Unit cell a=4.8294 b=4.8294 c=4.8294 alpha=90.00 beta=90.00 gamma=90.00
Last column: nearest neighbours and their distance in Å.
Space group Pm-3m (No. 221)
Inequivalent atoms, fractional coordinates:
Zn 0.0000 0.0000 0.5000 [3 per cell]  2 Ru 2.41
In 0.5000 0.5000 0.5000 [1 per cell]  12 Zn 3.41
Ru 0.0000 0.0000 0.0000 [1 per cell]  6 Zn 2.41

=====

Compound: AlRuRh2
Source: Alexandria
Functional: PBE
Structure: relaxed

* crystal system: orthorhombic
* total magnetic moment: 0.000 μB per cell
* DFT formation energy: -357 meV/atom
* calculated total energy: -7.287 eV per atom
* DOS at the Fermi energy: 3.8 states/eV per cell
* calculated volume: 56.18 Å³/cell

Unit cell a=2.7735 b=3.7504 c=5.4009 alpha=90.00 beta=90.00 gamma=90.00
Last column: nearest neighbours and their distance in Å.
Space group Pmmm (No. 47)
Inequivalent atoms, fractional coordinates:
Al 0.0000 0.0000 0.0000 [1 per cell]  8 Rh 2.70, 2 Ru 2.70, 2 Al 2.77
Ru 0.0000 0.0000 0.5000 [1 per cell]  8 Rh 2.69, 2 Al 2.70, 2 Ru 2.77
Rh 0.5000 0.5000 0.2504 [2 per cell]  4 Ru 2.69, 4 Al 2.70, 4 Rh 2.70-2.77

=====

Compound: KFeCo2
Source: Alexandria
Functional: PBE
Structure: relaxed

* E above lowest polymorph: 0.185 eV per formula unit
* crystal system: monoclinic
* total magnetic moment: 12.618 μB per cell
* DFT formation energy: 680 meV/atom
* calculated total energy: -5.263 eV per atom
* DOS at the Fermi energy: 8.1 states/eV per cell
* calculated volume: 157.68 Å³/cell

Unit cell a=8.2530 b=2.8228 c=6.8096 alpha=90.00 beta=96.30 gamma=90.00
Last column: nearest neighbours and their distance in Å.
Space group Cm (No. 8)
Inequivalent atoms, fractional coordinates:
K 0.0000 0.0000 0.0000 [2 per cell]  2 K 2.82
Fe 0.2808 0.5000 0.3804 [2 per cell]  4 Co 2.28-2.41
Co 0.0022 0.5000 0.5165 [2 per cell]  3 Co 2.39-2.47, 3 Fe 2.41-2.57
Co 0.2272 0.0000 0.6276 [2 per cell]  2 Fe 2.28, 3 Co 2.39-2.47

=====

Compound: EuYI2
Source: Alexandria
Functional: PBE
Structure: relaxed

* crystal system: trigonal
* total magnetic moment: 23.036 μB per cell
* calculated total energy: -5.771 eV per atom
* ΔE_f (raw): -0.81 eV per atom
* DOS at the Fermi energy: 9.2 states/eV per cell
* calculated volume: 458.15 Å³/cell

Unit cell a=4.0056 b=4.0056 c=32.9717 alpha=90.00 beta=90.00 gamma=120.00
Last column: nearest neighbours and their distance in Å.
Space group R-3m (No. 166, hexagonal axes)
Inequivalent atoms, fractional coordinates:
Eu 0.0000 0.0000 0.0000 [3 per cell]  2 I 3.37
Y 0.0000 0.0000 0.5000 [3 per cell]  6 I 3.14
I 0.0000 0.0000 0.1023 [6 per cell]  3 Y 3.14, 1 Eu 3.37

=====

Compound: LaTeAs
Source: Alexandria
Functional: PBE
Structure: relaxed

* crystal system: hexagonal
* total magnetic moment: 0.000 μB per cell
* calculated total energy: -5.019 eV per atom
* ΔE_f (raw): -0.78 eV per atom
* DOS at the Fermi energy: 2.2 states/eV per cell
* calculated volume: 83.94 Å³/cell

Unit cell a=4.9437 b=4.9437 c=3.9656 alpha=90.00 beta=90.00 gamma=120.00
Last column: nearest neighbours and their distance in Å.
Space group P-6m2 (No. 187)
Inequivalent atoms, fractional coordinates:
La 0.0000 0.0000 0.0000 [1 per cell]  6 Te 3.48, 6 As 3.48
Te 0.6667 0.3333 0.5000 [1 per cell]  3 As 2.85
As 0.3333 0.6667 0.5000 [1 per cell]  3 Te 2.85